1.
{"formula": "Dy7YCd2", "functional": "PBE", "state": "relaxed", "total_magnetization_mub_per_cell": 0.000, "rho_g_cm3": 6.530, "formation_enthalpy_0k_ev_per_atom": 0.4117, "dos_ef_per_ev_atom": 2.096, "lattice_angstrom": [[4.463, -7.875, 0.000], [4.463, 7.875, 0.000], [0.000, 0.000, 5.249]], "species": ["Dy", "Dy", "Dy", "Dy", "Dy", "Dy", "Dy", "Y", "Cd", "Cd"], "fractional_positions": [[0.000, 0.000, 0.000], [0.201, 0.435, 0.000], [0.276, 0.724, 0.500], [0.435, 0.201, 0.000], [0.565, 0.799, 0.000], [0.724, 0.276, 0.500], [0.799, 0.565, 0.000], [0.500, 0.500, 0.500], [0.196, 0.804, 0.000], [0.804, 0.196, 0.000]]}

2.
{"formula": "Fe2AsIr", "functional": "PBE", "state": "relaxed", "total_magnetization_mub_per_cell": 4.202, "rho_g_cm3": 12.062, "formation_enthalpy_0k_ev_per_atom": 0.0802, "dos_ef_per_ev_atom": 0.881, "lattice_angstrom": [[2.844, 0.000, 0.000], [0.000, 2.844, 0.000], [0.000, 0.000, 6.448]], "species": ["Fe", "Fe", "As", "Ir"], "fractional_positions": [[0.000, 0.000, 0.237], [0.000, 0.000, 0.763], [0.500, 0.500, 0.000], [0.500, 0.500, 0.500]]}

3.
{"formula": "Ho2GaSi3Ir4", "functional": "PBE", "state": "relaxed", "total_magnetization_mub_per_cell": 0.000, "rho_g_cm3": 12.197, "raw_formation_energy_mev_per_atom": -987, "dos_ef_per_ev_atom": 0.653, "lattice_angstrom": [[4.131, 0.000, 0.000], [0.000, 4.131, 0.000], [0.000, 0.000, 9.994]], "species": ["Ho", "Ho", "Ga", "Si", "Si", "Si", "Ir", "Ir", "Ir", "Ir"], "fractional_positions": [[0.000, 0.500, 0.249], [0.500, 0.000, 0.751], [0.500, 0.500, 0.000], [0.000, 0.000, 0.000], [0.000, 0.500, 0.629], [0.500, 0.000, 0.371], [0.000, 0.000, 0.500], [0.000, 0.500, 0.863], [0.500, 0.000, 0.137], [0.500, 0.500, 0.500]]}